[1]
EuErPdPt: optimized geometry, PBE-GGA.

Summary:
Total DFT energy (no corrections) ... -0.546 Ry per atom
Energy of formation from the pure elements ... -0.92 eV/atom
Symmetry ... No. 216

abc: 4.9869 4.9869 4.9869
angles: 60.00 60.00 60.00
Positions (direct):
1 Eu 0.0000 0.0000 0.0000
2 Er 0.5000 0.5000 0.5000
3 Pd 0.2500 0.2500 0.2500
4 Pt 0.7500 0.7500 0.7500

***

[2]
PrMnS3: optimized geometry, PBE-GGA.

Summary:
Total DFT energy (no corrections) ... -0.481 Ry per atom
Energy relative to the lowest polymorph listed for this composition ... 0.0 meV per atom
Symmetry ... No. 62

abc: 7.7941 3.8605 13.1168
angles: 90.00 90.00 90.00
Positions (direct):
1 Pr 0.0910 0.2500 0.1704
2 Pr 0.4091 0.7500 0.6704
3 Pr 0.5910 0.2500 0.3296
4 Pr 0.9090 0.7500 0.8296
5 Mn 0.1584 0.7500 0.4468
6 Mn 0.3416 0.2500 0.9468
7 Mn 0.6584 0.7500 0.0532
8 Mn 0.8416 0.2500 0.5532
9 S 0.0211 0.7500 0.6096
10 S 0.1568 0.7500 0.0049
11 S 0.1966 0.2500 0.7882
12 S 0.3034 0.7500 0.2882
13 S 0.3432 0.2500 0.5049
14 S 0.4789 0.2500 0.1096
15 S 0.5211 0.7500 0.8904
16 S 0.6568 0.7500 0.4951
17 S 0.6966 0.2500 0.7118
18 S 0.8034 0.7500 0.2118
19 S 0.8432 0.2500 0.9951
20 S 0.9789 0.2500 0.3904

***

[3]
Tb4Ce3N8: optimized geometry, PBE-GGA.

Summary:
Total DFT energy (no corrections) ... -0.601 Ry per atom
Symmetry ... No. 12

abc: 6.9548 6.9548 7.0056
angles: 118.98 118.98 91.17
Positions (direct):
1 Tb 0.0000 0.0000 0.0000
2 Tb 0.0000 0.0000 0.5000
3 Tb 0.0000 0.5000 0.0000
4 Tb 0.5000 0.0000 0.0000
5 Ce 0.0000 0.5000 0.5000
6 Ce 0.5000 0.0000 0.5000
7 Ce 0.5000 0.5000 0.0000
8 N 0.2375 0.2375 0.4970
9 N 0.2372 0.7628 0.5000
10 N 0.2467 0.2467 0.9697
11 N 0.2465 0.7535 0.0000
12 N 0.7535 0.2465 0.0000
13 N 0.7533 0.7533 0.0303
14 N 0.7628 0.2372 0.5000
15 N 0.7625 0.7625 0.5030

***

[4]
LiSiSb2I: optimized geometry, PBE-GGA.

Summary:
Total DFT energy (no corrections) ... -0.205 Ry per atom
Energy relative to the lowest polymorph listed for this composition ... 290.5 meV per atom
Symmetry ... No. 123

abc: 4.9907 4.9907 5.3580
angles: 90.00 90.00 90.00
Positions (direct):
1 Li 0.0000 0.0000 0.0000
2 Si 0.5000 0.5000 0.5000
3 Sb 0.0000 0.5000 0.0000
4 Sb 0.5000 0.0000 0.0000
5 I 0.0000 0.0000 0.5000

***

[5]
NdZnCl5: optimized geometry, PBE-GGA.

Summary:
Total DFT energy (no corrections) ... -0.289 Ry per atom
Symmetry ... No. 15

abc: 7.2172 7.2172 10.2996
angles: 110.98 110.98 86.27
Positions (direct):
1 Nd 0.0000 0.5000 0.0000
2 Nd 0.5000 0.0000 0.5000
3 Zn 0.1391 0.8609 0.7500
4 Zn 0.8609 0.1391 0.2500
5 Cl 0.1479 0.1845 0.4513
6 Cl 0.1681 0.5944 0.8282
7 Cl 0.1845 0.1479 0.9513
8 Cl 0.3328 0.6672 0.2500
9 Cl 0.4056 0.8319 0.6718
10 Cl 0.5944 0.1681 0.3282
11 Cl 0.6672 0.3328 0.7500
12 Cl 0.8155 0.8521 0.0487
13 Cl 0.8319 0.4056 0.1718
14 Cl 0.8521 0.8155 0.5487

***

[6]
SrGeRhO6: optimized geometry, PBE-GGA.

Summary:
Total DFT energy (no corrections) ... -0.460 Ry per atom
Symmetry ... No. 163

abc: 5.1459 5.1459 10.8828
angles: 90.00 90.00 120.00
Positions (direct):
1 Sr 0.0000 0.0000 0.0000
2 Sr 0.0000 0.0000 0.5000
3 Ge 0.3333 0.6667 0.2500
4 Ge 0.6667 0.3333 0.7500
5 Rh 0.3333 0.6667 0.7500
6 Rh 0.6667 0.3333 0.2500
7 O 0.0057 0.3815 0.1507
8 O 0.0057 0.6242 0.3493
9 O 0.3758 0.3815 0.3493
10 O 0.3758 0.9943 0.1507
11 O 0.3815 0.0057 0.6507
12 O 0.3815 0.3758 0.8493
13 O 0.6185 0.6242 0.1507
14 O 0.6185 0.9943 0.3493
15 O 0.6242 0.0057 0.8493
16 O 0.6242 0.6185 0.6507
17 O 0.9943 0.3758 0.6507
18 O 0.9943 0.6185 0.8493